KMnNi2 after structural relaxation. Source: Alexandria, functional PBE.

The structure in POSCAR format:
```
KMnNi2
1.0
4.3596 0.0019 -0.0072
3.4610 2.6510 -0.0072
0.7685 0.2607 6.8778
Ni Mn K
2 1 1
Cartesian
7.7277 2.6213 0.7727
4.3873 1.4882 2.6446
2.1473 0.7284 1.7158
6.4418 2.1851 5.1475
```

## Properties
Space group ... C2/m, No. 12
Total magnetic moment ... 4.86 μB per cell
Formation enthalpy at 0 K ... 0.5006 eV per atom
Excess energy over the best structure of this formula in the dataset ... 69 meV/atom